{
  "formula": "CdSn2Mo",
  "functional": "GGA-PBE",
  "state": "relaxed",
  "total_energy_ev_per_atom": -4.287,
  "mass_density_g_cm3": 7.63,
  "formation_enthalpy_0k_ev_per_atom": 0.65,
  "crystal_system": "tetragonal",
  "magmom_total_mub_per_fu": 0.46,
  "lattice": [[-2.0839, 0.7150, -7.7863], [-5.7329, -5.6194, 1.0183], [-5.8546, -0.3372, -2.6689]],
  "species": ["Mo", "Mo", "Sn", "Sn", "Sn", "Sn", "Cd", "Cd"],
  "frac_coords": [[0.2500, 0.7500, 0.5000], [0.5000, 0.5000, 0.0000], [0.1656, 0.6250, 0.2500], [0.8750, 0.8344, 0.7500], [0.5844, 0.1250, 0.2500], [0.3750, 0.4156, 0.7500], [0.7500, 0.2500, 0.5000], [0.0000, 0.0000, 0.0000]]
}